Here is an optimized crystal structure of SrNiRh2 from the Alexandria database. Energies are from PBE.

Calculated values
The value obtained for the energy above the lowest structure with this stoichiometry is 131 kJ/mol of formula units. Its crystal system is tetragonal. The calculation puts the density of states at the Fermi level at 9.404 states/eV per cell. The calculation puts the calculated formation energy at 0.265 eV per atom.

abc: 4.6988 4.6988 8.8967
angles: 74.69 74.69 90.00
With the nearest neighbours (Å) after each atom.
Sites, in units of the cell vectors:
Rh 0.3750 0.5403 0.7500  2 Ni 2.41, 2 Rh 2.48
Rh 0.2903 0.6250 0.2500  2 Ni 2.41, 2 Rh 2.48
Rh 0.8750 0.7097 0.7500  2 Ni 2.41, 2 Rh 2.48
Rh 0.4597 0.1250 0.2500  2 Ni 2.41, 2 Rh 2.48
Sr 0.0000 0.0000 0.0000  4 Rh 3.07, 4 Ni 3.32
Sr 0.7500 0.2500 0.5000  4 Rh 3.07, 4 Ni 3.32
Ni 0.5000 0.5000 0.0000  4 Rh 2.41
Ni 0.2500 0.7500 0.5000  4 Rh 2.41

---

Here is an optimized crystal structure of La2PmN3 from the Alexandria database. Energies are from PBE.

Calculated values
For the formation energy from raw total energies, the calculation gives -1.350 eV per atom. Its crystal system is monoclinic. The calculation puts the density of states at the Fermi level at 0.152 states/eV per cell.

abc: 6.4135 6.4224 6.4224
angles: 119.95 99.59 99.59
With the nearest neighbours (Å) after each atom.
Sites, in units of the cell vectors:
N 0.4986 0.6609 0.8220  2 Pm 2.56-2.58, 4 La 2.61-2.68
N 0.5000 0.0000 0.5000  4 La 2.62, 2 Pm 2.64
N 0.0000 0.5000 0.0000  4 La 2.62, 2 Pm 2.64
N 0.9986 0.8220 0.6609  2 Pm 2.56-2.58, 4 La 2.61-2.68
N 0.0014 0.1780 0.3391  2 Pm 2.56-2.58, 4 La 2.61-2.68
N 0.5014 0.3391 0.1780  2 Pm 2.56-2.58, 4 La 2.61-2.68
La 0.2500 0.9162 0.0838  6 N 2.62-2.66
La 0.2500 0.2514 0.7486  6 N 2.61-2.68
La 0.7500 0.0838 0.9162  6 N 2.62-2.66
La 0.7500 0.7486 0.2514  6 N 2.61-2.68
Pm 0.2500 0.5814 0.4186  6 N 2.56-2.64
Pm 0.7500 0.4186 0.5814  6 N 2.56-2.64

---

Here is an optimized crystal structure of Li5Cd2Ge from the Alexandria database. Energies are from PBE.

Calculated values
Its crystal system is tetragonal. The calculation puts the density of states at the Fermi level at 1.420 states/eV per cell. The calculation puts the calculated formation energy at -0.286 eV per atom.

abc: 4.5764 4.5764 7.1571
angles: 108.65 108.65 90.00
With the nearest neighbours (Å) after each atom.
Sites, in units of the cell vectors:
Li 0.1137 0.6137 0.2274  2 Ge 2.71, 3 Li 2.71-2.90, 4 Cd 2.84-2.91
Li 0.3863 0.8863 0.7726  3 Li 2.71-2.90, 2 Ge 2.71, 4 Cd 2.84-2.91
Li 0.5000 0.5000 0.0000  8 Li 2.71
Li 0.6137 0.1137 0.2274  3 Li 2.71-2.90, 2 Ge 2.71, 4 Cd 2.84-2.91
Li 0.8863 0.3863 0.7726  3 Li 2.71-2.90, 2 Ge 2.71, 4 Cd 2.84-2.91
Ge 0.0000 0.0000 0.0000  8 Li 2.71
Cd 0.2460 0.2460 0.4921  8 Li 2.84-2.91, 1 Ge 3.14
Cd 0.7540 0.7540 0.5079  8 Li 2.84-2.91, 1 Ge 3.14

---

Here is an optimized crystal structure of Pm6Nd3Dy2Er from the Alexandria database. Energies are from PBE.

Calculated values
Its crystal system is monoclinic. The calculation puts the density of states at the Fermi level at 16.441 states/eV per cell. The calculation puts the calculated formation energy at 0.016 eV per atom.

abc: 6.2916 6.2916 12.0056
angles: 95.01 95.01 120.00
With the nearest neighbours (Å) after each atom.
Sites, in units of the cell vectors:
Nd 0.5000 0.5000 0.5000  6 Nd 3.63, 6 Pm 3.66-3.67
Nd 0.8334 0.1666 0.5000  6 Nd 3.63, 6 Pm 3.66-3.67
Nd 0.1666 0.8334 0.5000  6 Nd 3.63, 6 Pm 3.66-3.67
Pm 0.9177 0.5847 0.7543  2 Dy 3.58, 1 Er 3.58, 6 Pm 3.63, 3 Nd 3.66-3.67
Pm 0.4153 0.0823 0.2457  2 Dy 3.58, 1 Er 3.58, 6 Pm 3.63, 3 Nd 3.66-3.67
Pm 0.2508 0.2508 0.7542  1 Er 3.58, 2 Dy 3.58, 6 Pm 3.63, 3 Nd 3.66-3.67
Pm 0.7492 0.7492 0.2458  1 Er 3.58, 2 Dy 3.58, 6 Pm 3.63, 3 Nd 3.66-3.67
Pm 0.5847 0.9177 0.7543  2 Dy 3.58, 1 Er 3.58, 6 Pm 3.63, 3 Nd 3.66-3.67
Pm 0.0823 0.4153 0.2457  2 Dy 3.58, 1 Er 3.58, 6 Pm 3.63, 3 Nd 3.66-3.67
Dy 0.6667 0.3333 0.0000  6 Pm 3.58, 3 Dy 3.63, 3 Er 3.63
Dy 0.3333 0.6667 0.0000  6 Pm 3.58, 3 Dy 3.63, 3 Er 3.63
Er 0.0000 0.0000 0.0000  6 Pm 3.58, 6 Dy 3.63

---

Here is an optimized crystal structure of HoTm8Sc3 from the Alexandria database. Energies are from PBE.

Calculated values
Its crystal system is tetragonal. The calculation puts the density of states at the Fermi level at 13.552 states/eV per cell. The calculation puts the calculated formation energy at 0.703 eV per atom.

abc: 7.4293 7.4293 9.1111
angles: 114.06 114.06 90.00
With the nearest neighbours (Å) after each atom.
Sites, in units of the cell vectors:
Tm 0.6191 0.6191 0.7455  3 Sc 3.20-3.21, 1 Ho 3.27
Tm 0.1264 0.6191 0.7455  3 Sc 3.20-3.21, 1 Ho 3.27
Tm 0.8736 0.3809 0.2545  3 Sc 3.20-3.21, 1 Ho 3.27
Tm 0.3809 0.8736 0.2545  3 Sc 3.20-3.21, 1 Ho 3.27
Tm 0.8736 0.8736 0.2545  3 Sc 3.20-3.21, 1 Ho 3.27
Tm 0.3809 0.3809 0.2545  3 Sc 3.20-3.21, 1 Ho 3.27
Tm 0.1264 0.1264 0.7455  3 Sc 3.20-3.21, 1 Ho 3.27
Tm 0.6191 0.1264 0.7455  3 Sc 3.20-3.21, 1 Ho 3.27
Sc 0.2500 0.7500 0.5000  8 Tm 3.20
Sc 0.7500 0.2500 0.5000  8 Tm 3.20
Sc 0.5000 0.5000 0.0000  8 Tm 3.21
Ho 0.0000 0.0000 0.0000  8 Tm 3.27

---

Here is an optimized crystal structure of TlAsAu2 from the Alexandria database. Energies are from PBE.

Calculated values
Its crystal system is monoclinic. The calculation puts the density of states at the Fermi level at 0.490 states/eV per cell. The calculation puts the calculated formation energy at 0.011 eV per atom.

abc: 4.6528 4.7524 4.8061
angles: 88.16 90.00 90.00
With the nearest neighbours (Å) after each atom.
Sites, in units of the cell vectors:
Au 0.5000 0.0830 0.3008  2 As 2.49-2.63
Au 0.0000 0.0246 0.9600  2 As 2.54
As 0.5000 0.8972 0.7908  4 Au 2.49-2.63
Tl 0.0000 0.4952 0.4484  5 Au 3.14-3.39, 2 As 3.46

---

Here is an optimized crystal structure of AcMnB14 from the Alexandria database. Energies are from PBE.

Calculated values
Its crystal system is orthorhombic. The calculation puts the density of states at the Fermi level at 5.696 states/eV per cell. The calculation puts the calculated formation energy at -0.114 eV per atom.

abc: 5.8833 7.5463 7.5463
angles: 68.02 67.06 67.06
With the nearest neighbours (Å) after each atom.
Sites, in units of the cell vectors:
B 0.6646 0.3640 0.3068  6 B 1.87-1.89
B 0.1742 0.0256 0.1245  6 B 1.74-1.89
B 0.2824 0.3992 0.7155  6 B 1.80-1.89
B 0.7176 0.6008 0.2845  6 B 1.80-1.89
B 0.8760 0.7618 0.4862  3 B 1.71-1.74
B 0.3258 0.3755 0.4744  6 B 1.74-1.89
B 0.1029 0.2155 0.8992  6 B 1.80-1.89
B 0.1757 0.6245 0.5256  6 B 1.74-1.89
B 0.8971 0.7845 0.1008  6 B 1.80-1.89
B 0.8243 0.3755 0.4744  6 B 1.74-1.89
B 0.8354 0.1932 0.1360  6 B 1.87-1.89
B 0.4180 0.7490 0.4149  6 B 1.71-1.89
B 0.1240 0.2382 0.5138  3 B 1.71-1.74
B 0.6029 0.3992 0.7155  6 B 1.80-1.89
B 0.3354 0.6360 0.6932  6 B 1.87-1.89
B 0.3760 0.9862 0.2618  3 B 1.71-1.74
B 0.6240 0.0138 0.7382  3 B 1.71-1.74
B 0.0820 0.0851 0.7510  6 B 1.71-1.89
B 0.9180 0.9149 0.2490  6 B 1.71-1.89
B 0.8258 0.9744 0.8755  6 B 1.74-1.89
B 0.7824 0.2155 0.8992  6 B 1.80-1.89
B 0.6742 0.6245 0.5256  6 B 1.74-1.89
B 0.1646 0.8068 0.8640  6 B 1.87-1.89
B 0.3971 0.6008 0.2845  6 B 1.80-1.89
B 0.5820 0.2510 0.5851  6 B 1.71-1.89
B 0.6757 0.0256 0.1245  6 B 1.74-1.89
B 0.2176 0.7845 0.1008  6 B 1.80-1.89
B 0.3243 0.9744 0.8755  6 B 1.74-1.89
Ac 0.7500 0.6222 0.8778  14 B 2.64-2.95
Ac 0.2500 0.3778 0.1222  14 B 2.64-2.95
Mn 0.5000 0.0000 0.5000  8 B 2.24-2.47
Mn 0.0000 0.0000 0.5000  8 B 2.24-2.47

---

Here is an optimized crystal structure of NaZnIn2Br5 from the Alexandria database. Energies are from PBE.

Calculated values
For the formation energy from raw total energies, the calculation gives -0.926 eV per atom. Its crystal system is orthorhombic. The calculation puts the density of states at the Fermi level at 0.000 states/eV per cell.

abc: 4.1763 10.2162 14.3076
angles: 90.00 90.00 101.79
With the nearest neighbours (Å) after each atom.
Sites, in units of the cell vectors:
Br 0.3457 0.6914 0.0128  1 Na 2.94, 2 In 3.12
Br 0.7051 0.4103 0.1779  2 Na 2.93, 1 In 3.13
Br 0.6543 0.3086 0.5128  1 Na 2.94, 2 In 3.12
Br 0.9617 0.9235 0.5138  2 Zn 2.54
Br 0.2949 0.5897 0.6779  2 Na 2.93, 1 In 3.13
Br 0.3224 0.6447 0.3859  1 Zn 2.43
Br 0.4913 0.9826 0.7789  1 Zn 2.38
Br 0.0383 0.0765 0.0138  2 Zn 2.54
Br 0.6776 0.3553 0.8859  1 Zn 2.43
Br 0.5087 0.0174 0.2789  1 Zn 2.38
In 0.8638 0.7277 0.8307  6 Br 3.32-3.38
In 0.8616 0.7232 0.1730  3 Br 3.12-3.13
In 0.1362 0.2723 0.3307  6 Br 3.32-3.38
In 0.1384 0.2768 0.6730  3 Br 3.12-3.13
Zn 0.4418 0.8836 0.4166  4 Br 2.38-2.54
Zn 0.5582 0.1164 0.9166  4 Br 2.38-2.54
Na 0.1997 0.3993 0.0343  6 Br 2.93-3.24
Na 0.8003 0.6007 0.5343  6 Br 2.93-3.24